[1]
## ErScOsAu (PBE)

Data for ErScOsAu after structural relaxation.

For the total magnetization, the calculation gives 0.000 μB/cell. Its formation energy is -0.530 eV per atom. The value obtained for the density is 12.82 Mg/m³.

a = 4.789 Å, b = 4.789 Å, c = 4.789 Å
α = 60.00°, β = 60.00°, γ = 60.00°
Positions (direct):
Er (0.000, 0.000, 0.000)
Sc (0.500, 0.500, 0.500)
Os (0.250, 0.250, 0.250)
Au (0.750, 0.750, 0.750)

=====

[2]
## SmErOsAu (PBE)

Data for SmErOsAu after structural relaxation.

For the total magnetization, the calculation gives 0.000 μB/cell. Its formation energy is -0.429 eV per atom. The value obtained for the density is 13.43 Mg/m³.

a = 4.976 Å, b = 4.976 Å, c = 4.976 Å
α = 60.00°, β = 60.00°, γ = 60.00°
Positions (direct):
Sm (0.000, 0.000, 0.000)
Er (0.500, 0.500, 0.500)
Os (0.250, 0.250, 0.250)
Au (0.750, 0.750, 0.750)

=====

[3]
## TbErOsAu (PBE)

Data for TbErOsAu after structural relaxation.

For the total magnetization, the calculation gives 0.000 μB/cell. Its formation energy is -0.489 eV per atom. The value obtained for the density is 13.96 Mg/m³.

a = 4.933 Å, b = 4.933 Å, c = 4.933 Å
α = 60.00°, β = 60.00°, γ = 60.00°
Positions (direct):
Tb (0.000, 0.000, 0.000)
Er (0.500, 0.500, 0.500)
Os (0.250, 0.250, 0.250)
Au (0.750, 0.750, 0.750)

=====

[4]
## Er2PAu (PBE)

Data for Er2PAu after structural relaxation.

For the total magnetization, the calculation gives 0.000 μB/cell. Its formation energy is -0.586 eV per atom. The value obtained for the density is 8.51 Mg/m³.

a = 9.018 Å, b = 9.018 Å, c = 9.018 Å
α = 24.37°, β = 24.37°, γ = 24.37°
Positions (direct):
Er (0.107, 0.107, 0.107)
Er (0.893, 0.893, 0.893)
P (0.500, 0.500, 0.500)
Au (0.000, 0.000, 0.000)

=====

[5]
## Er4PAuS2 (PBE)

Data for Er4PAuS2 after structural relaxation.

For the total magnetization, the calculation gives 0.000 μB/cell. The value obtained for the density is 9.04 Mg/m³. The value obtained for the formation energy without anion corrections is -1553 meV/atom.

a = 6.861 Å, b = 3.907 Å, c = 6.944 Å
α = 90.00°, β = 108.49°, γ = 90.00°
Positions (direct):
Er (0.239, 0.000, 0.240)
Er (0.240, 0.500, 0.750)
Er (0.760, 0.500, 0.250)
Er (0.761, 0.000, 0.760)
P (0.000, 0.000, 0.500)
Au (0.500, 0.500, 0.500)
S (0.000, 0.500, 0.000)
S (0.500, 0.000, 0.000)

=====

[6]
## Er4PAuSe2 (PBE)

Data for Er4PAuSe2 after structural relaxation.

For the total magnetization, the calculation gives 0.000 μB/cell. The value obtained for the density is 9.26 Mg/m³. The value obtained for the formation energy without anion corrections is -1460 meV/atom.

a = 7.049 Å, b = 3.981 Å, c = 7.108 Å
α = 90.00°, β = 108.45°, γ = 90.00°
Positions (direct):
Er (0.235, 0.000, 0.236)
Er (0.242, 0.500, 0.756)
Er (0.758, 0.500, 0.244)
Er (0.765, 0.000, 0.764)
P (0.000, 0.500, 0.000)
Au (0.000, 0.000, 0.500)
Se (0.500, 0.000, 0.000)
Se (0.500, 0.500, 0.500)

=====

[7]
## Er8Te4P3Au (PBE)

Data for Er8Te4P3Au after structural relaxation.

For the total magnetization, the calculation gives 0.000 μB/cell. The value obtained for the density is 8.62 Mg/m³. The value obtained for the formation energy without anion corrections is -1370 meV/atom.

a = 8.424 Å, b = 8.424 Å, c = 8.424 Å
α = 58.89°, β = 58.89°, γ = 58.89°
Positions (direct):
Er (0.231, 0.742, 0.742)
Er (0.236, 0.236, 0.236)
Er (0.258, 0.258, 0.769)
Er (0.258, 0.769, 0.258)
Er (0.742, 0.231, 0.742)
Er (0.742, 0.742, 0.231)
Er (0.764, 0.764, 0.764)
Er (0.769, 0.258, 0.258)
Te (0.000, 0.000, 0.000)
Te (0.000, 0.500, 0.500)
Te (0.500, 0.000, 0.500)
Te (0.500, 0.500, 0.000)
P (0.000, 0.000, 0.500)
P (0.000, 0.500, 0.000)
P (0.500, 0.000, 0.000)
Au (0.500, 0.500, 0.500)

=====

[8]
## Er4Te2PAu (PBE)

Data for Er4Te2PAu after structural relaxation.

For the total magnetization, the calculation gives 0.000 μB/cell. The value obtained for the density is 9.09 Mg/m³. The value obtained for the formation energy without anion corrections is -1241 meV/atom.

a = 7.310 Å, b = 4.094 Å, c = 7.409 Å
α = 90.00°, β = 108.29°, γ = 90.00°
Positions (direct):
Er (0.215, 0.000, 0.229)
Er (0.218, 0.500, 0.748)
Er (0.782, 0.500, 0.252)
Er (0.785, 0.000, 0.771)
Te (0.500, 0.000, 0.000)
Te (0.500, 0.500, 0.500)
P (0.000, 0.500, 0.000)
Au (0.000, 0.000, 0.500)

=====

[9]
## ErPaAu2 (PBE)

Data for ErPaAu2 after structural relaxation.

The energy above the most stable polymorph in this dataset comes out at 60 meV/atom. For the total magnetization, the calculation gives 0.541 μB/cell. Its formation energy is -0.466 eV per atom. The value obtained for the density is 14.15 Mg/m³.

a = 5.085 Å, b = 5.085 Å, c = 5.085 Å
α = 60.00°, β = 60.00°, γ = 60.00°
Positions (direct):
Er (0.000, 0.000, 0.000)
Pa (0.500, 0.500, 0.500)
Au (0.250, 0.250, 0.250)
Au (0.750, 0.750, 0.750)

=====

[10]
## ErPaAu2 (PBE)

Data for ErPaAu2 after structural relaxation.

The energy above the most stable polymorph in this dataset comes out at 178 meV/atom. For the total magnetization, the calculation gives 0.863 μB/cell. Its formation energy is -0.348 eV per atom. The value obtained for the density is 13.02 Mg/m³.

a = 8.457 Å, b = 8.457 Å, c = 8.457 Å
α = 25.82°, β = 25.82°, γ = 25.82°
Positions (direct):
Er (0.000, 0.000, 0.000)
Pa (0.500, 0.500, 0.500)
Au (0.251, 0.251, 0.251)
Au (0.749, 0.749, 0.749)

=====

[11]
## ErPaAu (PBE)

Data for ErPaAu after structural relaxation.

The energy above the most stable polymorph in this dataset comes out at 162 meV/atom. For the total magnetization, the calculation gives 1.340 μB/cell. Its formation energy is -0.067 eV per atom. The value obtained for the density is 13.81 Mg/m³.

a = 4.959 Å, b = 4.959 Å, c = 6.721 Å
α = 90.00°, β = 90.00°, γ = 120.00°
Positions (direct):
Er (0.000, 0.000, 0.229)
Er (0.000, 0.000, 0.771)
Pa (0.333, 0.667, 0.457)
Pa (0.667, 0.333, 0.543)
Au (0.333, 0.667, 0.928)
Au (0.667, 0.333, 0.072)

=====

[12]
## ErPaAu (PBE)

Data for ErPaAu after structural relaxation.

The energy above the most stable polymorph in this dataset comes out at 0 meV/atom. For the total magnetization, the calculation gives 0.279 μB/cell. Its formation energy is -0.229 eV per atom. The value obtained for the density is 13.41 Mg/m³.

a = 7.004 Å, b = 7.004 Å, c = 7.004 Å
α = 152.38°, β = 152.38°, γ = 39.46°
Positions (direct):
Er (0.000, 0.000, 0.000)
Pa (0.693, 0.693, 0.000)
Au (0.356, 0.356, 0.000)